[1]
Here is a relaxed structure of Pu2MgIn5Ag2 from Alexandria via LeMat-Bulk. Energies are from PBE-GGA.

Properties
electronic total energy	-5.07	eV/atom
energy of formation	-0.11	eV per atom

Unit cell a=10.389 b=10.389 c=4.487 alpha=90.00 beta=90.00 gamma=90.00
Space group P4/mbm (No. 127)
Inequivalent atoms, fractional coordinates:
1 Pu 0.180 0.320 0.000 (multiplicity 4)
2 Mg 0.000 0.000 0.000 (multiplicity 2)
3 In 0.000 0.500 0.500 (multiplicity 2)
4 In 0.062 0.797 0.500 (multiplicity 8)
5 Ag 0.117 0.617 0.000 (multiplicity 4)

[2]
Here is a relaxed structure of TcNi2Ge2 from Alexandria via LeMat-Bulk. Energies are from PBE-GGA.

Properties
electronic total energy	-6.20	eV/atom
energy of formation	0.03	eV per atom
distance to the lowest polymorph of the same formula	0.138	eV/atom

Unit cell a=3.510 b=3.510 c=11.124 alpha=90.00 beta=90.00 gamma=90.00
Space group I4/mmm (No. 139)
Inequivalent atoms, fractional coordinates:
1 Tc 0.000 0.000 0.000 (multiplicity 2)
2 Ni 0.000 0.500 0.250 (multiplicity 4)
3 Ge 0.000 0.000 0.389 (multiplicity 4)

[3]
Here is a relaxed structure of Hf2Zr3Hg from Alexandria via LeMat-Bulk. Energies are from PBE-GGA.

Properties
electronic total energy	-7.70	eV/atom
energy of formation	-0.06	eV per atom
distance to the lowest polymorph of the same formula	0.000	eV/atom

Unit cell a=3.196 b=3.196 c=13.250 alpha=90.00 beta=90.00 gamma=90.00
Space group P4/mmm (No. 123)
Inequivalent atoms, fractional coordinates:
1 Hf 0.000 0.000 0.169 (multiplicity 2)
2 Zr 0.500 0.500 0.000 (multiplicity 1)
3 Zr 0.500 0.500 0.335 (multiplicity 2)
4 Hg 0.000 0.000 0.500 (multiplicity 1)

[4]
Here is a relaxed structure of Sm5Tl2Cu2 from Alexandria via LeMat-Bulk. Energies are from PBE-GGA.

Properties
electronic total energy	-4.25	eV/atom
energy of formation	-0.19	eV per atom

Unit cell a=16.031 b=8.642 c=7.234 alpha=90.00 beta=90.00 gamma=90.00
Space group Cmce (No. 64)
Inequivalent atoms, fractional coordinates:
1 Sm 0.000 0.000 0.000 (multiplicity 4)
2 Sm 0.124 0.184 0.346 (multiplicity 16)
3 Tl 0.214 0.000 0.000 (multiplicity 8)
4 Cu 0.000 0.112 0.624 (multiplicity 8)

[5]
Here is a relaxed structure of LiNi2BiC from Alexandria via LeMat-Bulk. Energies are from PBE-GGA.

Properties
electronic total energy	-3.71	eV/atom
energy of formation	1.61	eV per atom

Unit cell a=4.828 b=4.828 c=4.605 alpha=90.00 beta=90.00 gamma=90.00
Space group P4/mmm (No. 123)
Inequivalent atoms, fractional coordinates:
1 Li 0.000 0.000 0.000 (multiplicity 1)
2 Ni 0.000 0.500 0.500 (multiplicity 2)
3 Bi 0.500 0.500 0.500 (multiplicity 1)
4 C 0.500 0.500 0.000 (multiplicity 1)

[6]
Here is a relaxed structure of ThZr2I2Br4 from Alexandria via LeMat-Bulk. Energies are from PBE-GGA.

Properties
energy relative to the elements, uncorrected	-1.14	eV per atom
electronic total energy	-4.96	eV/atom

Unit cell a=3.7164 b=3.7164 c=24.5252 alpha=90.00 beta=90.00 gamma=120.00
Space group P3m1 (No. 156)
Inequivalent atoms, fractional coordinates:
1 Th 0.0000 0.0000 0.0000 (multiplicity 1)
2 Zr 0.0000 0.0000 0.6454 (multiplicity 1)
3 Zr 0.6667 0.3333 0.3376 (multiplicity 1)
4 I 0.6667 0.3333 0.0973 (multiplicity 1)
5 I 0.6667 0.3333 0.9027 (multiplicity 1)
6 Br 0.0000 0.0000 0.2651 (multiplicity 1)
7 Br 0.0000 0.0000 0.4102 (multiplicity 1)
8 Br 0.6667 0.3333 0.5728 (multiplicity 1)
9 Br 0.6667 0.3333 0.7179 (multiplicity 1)